(1)
First-principles (PBE-GGA) data for Cs2Na4Pt after structural relaxation, as listed in Alexandria via LeMat-Bulk.

Unit cell a=5.7957 b=5.7957 c=11.2675 alpha=75.10 beta=75.10 gamma=90.00
Fractional coordinates of all 7 atoms:
1 Pt 0.0000 0.0000 0.0000
2 Na 0.0000 0.5000 0.0000
3 Na 0.5000 0.0000 0.0000
4 Na 0.1317 0.1317 0.7366
5 Na 0.8683 0.8683 0.2634
6 Cs 0.3483 0.3483 0.3034
7 Cs 0.6517 0.6517 0.6966

## Properties
Formation energy from the elements   46 meV per atom
Final energy   -12.70 eV per formula unit



(2)
First-principles (PBE-GGA) data for Cs2NaPt after structural relaxation, as listed in Alexandria via LeMat-Bulk.

Unit cell a=12.5895 b=12.5895 c=9.3432 alpha=47.64 beta=47.64 gamma=90.00
Fractional coordinates of all 8 atoms:
1 Cs 0.7871 0.1250 0.2500
2 Cs 0.9629 0.6250 0.2500
3 Cs 0.8750 0.0371 0.7500
4 Cs 0.3750 0.2129 0.7500
5 Na 0.2500 0.7500 0.5000
6 Na 0.5000 0.5000 0.0000
7 Pt 0.0000 0.0000 0.0000
8 Pt 0.7500 0.2500 0.5000

## Properties
Formation energy from the elements   65 meV per atom
Final energy   -8.81 eV per formula unit



(3)
First-principles (PBE-GGA) data for CsNa3Pt after structural relaxation, as listed in Alexandria via LeMat-Bulk.

Unit cell a=5.7355 b=5.7355 c=5.7355 alpha=90.00 beta=90.00 gamma=90.00
Fractional coordinates of all 5 atoms:
1 Na 0.5000 0.0000 0.0000
2 Na 0.0000 0.5000 0.0000
3 Na 0.0000 0.0000 0.5000
4 Cs 0.5000 0.5000 0.5000
5 Pt 0.0000 0.0000 0.0000

## Properties
Formation energy from the elements   24 meV per atom
Energy above the most stable polymorph in this dataset   0 meV per atom
Final energy   -10.73 eV per formula unit



(4)
First-principles (PBE-GGA) data for CsRbNa2Pt after structural relaxation, as listed in Alexandria via LeMat-Bulk.

Unit cell a=5.8861 b=6.4276 c=5.8861 alpha=90.00 beta=90.00 gamma=90.00
Fractional coordinates of all 5 atoms:
1 Rb 0.0000 0.5000 0.0000
2 Pt 0.0000 0.0000 0.0000
3 Cs 0.5000 0.5000 0.5000
4 Na 0.5000 0.0000 0.0000
5 Na 0.0000 0.0000 0.5000

## Properties
Formation energy from the elements   73 meV per atom
Energy above the most stable polymorph in this dataset   0 meV per atom
Final energy   -10.14 eV per formula unit



(5)
First-principles (PBE-GGA) data for CsRb2NaPt after structural relaxation, as listed in Alexandria via LeMat-Bulk.

Unit cell a=6.6566 b=6.6566 c=5.9719 alpha=90.00 beta=90.00 gamma=90.00
Fractional coordinates of all 5 atoms:
1 Cs 0.5000 0.5000 0.5000
2 Rb 0.0000 0.5000 0.0000
3 Rb 0.5000 0.0000 0.0000
4 Na 0.0000 0.0000 0.5000
5 Pt 0.0000 0.0000 0.0000

## Properties
Formation energy from the elements   85 meV per atom
Energy above the most stable polymorph in this dataset   37 meV per atom
Final energy   -9.72 eV per formula unit



(6)
First-principles (PBE-GGA) data for Cs2RbNaPt after structural relaxation, as listed in Alexandria via LeMat-Bulk.

Unit cell a=6.7914 b=6.7914 c=6.6144 alpha=90.00 beta=90.00 gamma=90.00
Fractional coordinates of all 5 atoms:
1 Pt 0.0000 0.0000 0.0000
2 Cs 0.0000 0.5000 0.0000
3 Cs 0.5000 0.0000 0.0000
4 Rb 0.0000 0.0000 0.5000
5 Na 0.5000 0.5000 0.5000

## Properties
Formation energy from the elements   29 meV per atom
Energy above the most stable polymorph in this dataset   0 meV per atom
Final energy   -9.89 eV per formula unit



Question: Which of these has the lowest final energy?
Answer: Cs2Na4Pt



Question: Among the records above, which one has the highest final energy?
Answer: Cs2NaPt



Question: What is the formula in the second record?
Answer: Cs2NaPt



What did the sixth record say?
First-principles (PBE-GGA) data for Cs2RbNaPt after structural relaxation, as listed in Alexandria via LeMat-Bulk.

Unit cell a=6.7914 b=6.7914 c=6.6144 alpha=90.00 beta=90.00 gamma=90.00
Fractional coordinates of all 5 atoms:
1 Pt 0.0000 0.0000 0.0000
2 Cs 0.0000 0.5000 0.0000
3 Cs 0.5000 0.0000 0.0000
4 Rb 0.0000 0.0000 0.5000
5 Na 0.5000 0.5000 0.5000

## Properties
Formation energy from the elements   29 meV per atom
Energy above the most stable polymorph in this dataset   0 meV per atom
Final energy   -9.89 eV per formula unit